[1]
Here is Hf4Zr2Tc after structural relaxation from Alexandria via LeMat-Bulk. Energies are from PBE.

abc: 11.2330 3.3045 8.1378
angles: 90.00 99.29 90.00
Closest atoms and distances in Å follow each position.
Element x y z (fractional)
Hf (0.0657, 0.0000, 0.2622)  2 Tc 2.73
Hf (0.1981, 0.0000, 0.6378)  2 Tc 2.85, 5 Hf 3.12-3.18
Hf (0.3019, 0.5000, 0.3622)  2 Tc 2.85, 5 Hf 3.12-3.18
Hf (0.4343, 0.5000, 0.7378)  2 Tc 2.73
Hf (0.5657, 0.5000, 0.2622)  2 Tc 2.73
Hf (0.6981, 0.5000, 0.6378)  2 Tc 2.85, 5 Hf 3.12-3.18
Hf (0.8019, 0.0000, 0.3622)  2 Tc 2.85, 5 Hf 3.12-3.18
Hf (0.9343, 0.0000, 0.7378)  2 Tc 2.73
Zr (0.1337, 0.5000, 0.9553)  5 Zr 3.08-3.30, 6 Hf 3.10-3.25
Zr (0.3663, 0.0000, 0.0447)  5 Zr 3.08-3.30, 6 Hf 3.10-3.25
Zr (0.6337, 0.0000, 0.9553)  5 Zr 3.08-3.30, 6 Hf 3.10-3.25
Zr (0.8663, 0.5000, 0.0447)  5 Zr 3.08-3.30, 6 Hf 3.10-3.25
Tc (0.0000, 0.5000, 0.5000)  8 Hf 2.73-2.85
Tc (0.5000, 0.0000, 0.5000)  8 Hf 2.73-2.85

Output
The value obtained for the total DFT energy (no corrections) is -136.6 eV/cell. The calculation puts the energy relative to the elements at -0.148 eV per atom.

[2]
Here is HfZrTc3 after structural relaxation from Alexandria via LeMat-Bulk. Energies are from PBE.

abc: 4.7058 4.7058 4.7058
angles: 90.00 90.00 90.00
Closest atoms and distances in Å follow each position.
Element x y z (fractional)
Hf (0.0000, 0.0000, 0.0000)  6 Tc 2.35
Zr (0.5000, 0.5000, 0.5000)  12 Tc 3.33
Tc (0.0000, 0.0000, 0.5000)  2 Hf 2.35
Tc (0.0000, 0.5000, 0.0000)  2 Hf 2.35
Tc (0.5000, 0.0000, 0.0000)  2 Hf 2.35

Output
The value obtained for the total DFT energy (no corrections) is -43.0 eV/cell. The calculation puts the energy relative to the elements at 1.326 eV per atom.